1.
Sb4RuSe: relaxed, PBE.

Its formation energy (no corrections) is -38 meV/atom. The value obtained for the calculated volume is 156 Å³/f.u. The value obtained for the total energy is -58.95 eV per cell. For the distance to the lowest polymorph of the same formula, the calculation gives 0 meV per atom.

The space group is P2_1/c (No. 14) and the conventional cell measures 6.810, 6.836 and 6.715 Å, with angles of 90.00, 91.38 and 90.00 degrees. The inequivalent atoms are Sb at (0.067, 0.146, 0.145), Sb at (0.355, 0.621, 0.102), Ru at (0.000, 0.000, 0.500) and Se at (0.500, 0.000, 0.000).

---

2.
Sb2RuSe2: relaxed, PBE.

Its formation energy (no corrections) is 629 meV/atom. The value obtained for the calculated volume is 134 Å³/f.u. The value obtained for the total energy is -42.69 eV per cell.

The space group is I4/mmm (No. 139) and the conventional cell measures 5.683, 5.683 and 8.288 Å, with angles of 90.00, 90.00 and 90.00 degrees. The inequivalent atoms are Sb at (0.000, 0.000, 0.185), Ru at (0.000, 0.000, 0.500) and Se at (0.000, 0.500, 0.250).

---

Repeat the first record exactly.
Sb4RuSe: relaxed, PBE.

Its formation energy (no corrections) is -38 meV/atom. The value obtained for the calculated volume is 156 Å³/f.u. The value obtained for the total energy is -58.95 eV per cell. For the distance to the lowest polymorph of the same formula, the calculation gives 0 meV per atom.

The space group is P2_1/c (No. 14) and the conventional cell measures 6.810, 6.836 and 6.715 Å, with angles of 90.00, 91.38 and 90.00 degrees. The inequivalent atoms are Sb at (0.067, 0.146, 0.145), Sb at (0.355, 0.621, 0.102), Ru at (0.000, 0.000, 0.500) and Se at (0.500, 0.000, 0.000).